No. 1
In5Au4 GGA-PBE optimized geometry; theoretical density = 10.996 g/cm3; formation energy = -0.0971 eV/atom; distance to the lowest polymorph of the same formula = 0.0 meV/atom
1.0
8.471 0.000 0.000
-4.235 7.336 0.000
0.000 0.000 6.619
Au In
8 10
direct
0.000 0.000 0.000
0.000 0.000 0.500
0.000 0.386 0.250
0.614 0.614 0.250
0.386 0.000 0.250
0.000 0.614 0.750
0.386 0.386 0.750
0.614 0.000 0.750
0.000 0.721 0.250
0.279 0.279 0.250
0.721 0.000 0.250
0.000 0.279 0.750
0.721 0.721 0.750
0.279 0.000 0.750
0.667 0.333 0.000
0.333 0.667 0.500
0.333 0.667 0.000
0.667 0.333 0.500

***

No. 2
Ce6AsC2Br3 GGA-PBE optimized geometry; theoretical density = 6.709 g/cm3; formation energy (no corrections) = -0.972 eV/atom
1.0
-0.430 -1.247 -3.623
-0.155 -8.238 2.853
-8.354 4.169 1.608
Ce As C Br
6 1 2 3
direct
0.331 0.856 0.663
0.682 0.550 0.364
0.669 0.144 0.337
0.028 0.257 0.056
0.972 0.743 0.944
0.318 0.450 0.636
0.500 0.000 0.000
0.828 0.660 0.656
0.172 0.340 0.344
0.500 0.500 0.000
0.840 0.166 0.679
0.160 0.834 0.321

***

No. 3
BaSrN3 GGA-PBE optimized geometry; theoretical density = 4.133 g/cm3; formation energy (no corrections) = 1.022 eV/atom
1.0
4.751 0.000 0.000
0.000 4.751 0.000
0.000 0.000 4.751
Sr Ba N
1 1 3
direct
0.000 0.000 0.000
0.500 0.500 0.500
0.000 0.500 0.000
0.000 0.000 0.500
0.500 0.000 0.000

***

No. 4
La2PrMgTe5 GGA-PBE optimized geometry; theoretical density = 6.097 g/cm3; formation energy (no corrections) = -1.361 eV/atom
1.0
4.476 0.000 0.000
-2.238 9.635 0.000
0.000 0.000 13.652
La Pr Mg Te
4 2 2 10
direct
0.869 0.737 0.807
0.113 0.226 0.685
0.131 0.263 0.307
0.887 0.774 0.185
0.796 0.592 0.511
0.204 0.408 0.011
0.551 0.101 0.955
0.449 0.899 0.455
0.367 0.735 0.000
0.684 0.369 0.845
0.495 0.990 0.773
0.286 0.573 0.676
0.954 0.909 0.571
0.633 0.265 0.500
0.316 0.631 0.345
0.505 0.010 0.273
0.714 0.427 0.176
0.046 0.091 0.071

***

No. 5
CrHgOs GGA-PBE optimized geometry; theoretical density = 15.208 g/cm3; formation energy = 0.6908 eV/atom; distance to the lowest polymorph of the same formula = 276.6 meV/atom
1.0
-4.592 3.707 4.598
-5.080 1.038 5.072
1.645 1.278 1.803
Cr Hg Os
1 1 1
direct
0.987 0.987 0.013
0.662 0.662 0.338
0.351 0.351 0.649

***

No. 6
Pm2NiSn4Pt3 GGA-PBE optimized geometry; theoretical density = 10.542 g/cm3; formation energy = -0.7550 eV/atom
1.0
4.535 0.000 0.000
0.000 4.535 0.000
0.000 0.000 10.789
Pm Ni Sn Pt
2 1 4 3
direct
0.500 0.000 0.266
0.000 0.500 0.734
0.500 0.500 0.500
0.500 0.500 0.000
0.000 0.000 0.000
0.500 0.000 0.623
0.000 0.500 0.377
0.000 0.000 0.500
0.500 0.000 0.865
0.000 0.500 0.135

***

The records above give, respectively, DOS at the Fermi energy values of 8.00, 27.51, 3.78, 5.93, 3.37, 4.88 states/eV/cell.